## i
Below is a relaxed structure of CaCdP2Cl, with properties calculated at the PBE level.

Cell: 5.4854 5.4854 5.1194 Å, 90.00 90.00 90.00°
Sites, in units of the cell vectors:
Ca: 0.0000 0.0000 0.0000
Cd: 0.5000 0.5000 0.5000
P: 0.0000 0.5000 0.0000
P: 0.5000 0.0000 0.0000
Cl: 0.0000 0.0000 0.5000

## Properties
density of states at the Fermi level	2.943	states/eV/cell



## ii
Below is a relaxed structure of CaCdP2Cl, with properties calculated at the PBE level.

Cell: 4.8906 4.8906 5.5348 Å, 90.00 90.00 90.00°
Sites, in units of the cell vectors:
Ca: 0.0000 0.0000 0.0000
Cd: 0.5000 0.5000 0.5000
P: 0.0000 0.5000 0.5000
P: 0.5000 0.0000 0.5000
Cl: 0.5000 0.5000 0.0000

## Properties
density of states at the Fermi level	4.857	states/eV/cell



Relative energies in meV/atom: i 311; ii 0



## i
Below is a relaxed structure of CaCdWCl2, with properties calculated at the PBE level.

Cell: 4.6895 4.6895 6.2851 Å, 90.00 90.00 90.00°
Sites, in units of the cell vectors:
Ca: 0.0000 0.0000 0.0000
Cd: 0.5000 0.5000 0.0000
W: 0.0000 0.0000 0.5000
Cl: 0.0000 0.5000 0.5000
Cl: 0.5000 0.0000 0.5000

## Properties
density of states at the Fermi level	4.514	states/eV/cell



## ii
Below is a relaxed structure of CaCdWCl2, with properties calculated at the PBE level.

Cell: 5.0645 5.0645 6.9858 Å, 90.00 90.00 90.00°
Sites, in units of the cell vectors:
Ca: 0.0000 0.0000 0.0000
Cd: 0.5000 0.5000 0.5000
W: 0.0000 0.0000 0.5000
Cl: 0.0000 0.5000 0.0000
Cl: 0.5000 0.0000 0.0000

## Properties
density of states at the Fermi level	1.793	states/eV/cell



Relative energies in meV/atom: i 0; ii 122



## i
Below is a relaxed structure of Ca2Cd2Co, with properties calculated at the PBE level.

Cell: 9.3742 9.3742 9.3742 Å, 155.88 155.88 34.38°
Sites, in units of the cell vectors:
Ca: 0.0902 0.0902 0.0000
Ca: 0.9098 0.9098 0.0000
Cd: 0.2500 0.7500 0.5000
Cd: 0.7500 0.2500 0.5000
Co: 0.5000 0.5000 0.0000

## Properties
density of states at the Fermi level	2.328	states/eV/cell



## ii
Below is a relaxed structure of Ca2Cd2Co, with properties calculated at the PBE level.

Cell: 7.1925 7.1925 4.9070 Å, 90.00 90.00 90.00°
Sites, in units of the cell vectors:
Ca: 0.1763 0.3237 0.0000
Ca: 0.3237 0.8237 0.0000
Ca: 0.6763 0.1763 0.0000
Ca: 0.8237 0.6763 0.0000
Cd: 0.1429 0.6429 0.5000
Cd: 0.3571 0.1429 0.5000
Cd: 0.6429 0.8571 0.5000
Cd: 0.8571 0.3571 0.5000
Co: 0.0000 0.0000 0.5000
Co: 0.5000 0.5000 0.5000

## Properties
density of states at the Fermi level	11.978	states/eV/cell



Relative energies in meV/atom: i 171; ii 0



## i
Below is a relaxed structure of CaCd3Co, with properties calculated at the PBE level.

Cell: 4.9765 4.9765 4.9765 Å, 90.00 90.00 90.00°
Sites, in units of the cell vectors:
Ca: 0.0000 0.0000 0.0000
Cd: 0.0000 0.5000 0.5000
Cd: 0.5000 0.0000 0.5000
Cd: 0.5000 0.5000 0.0000
Co: 0.5000 0.5000 0.5000

## Properties
density of states at the Fermi level	4.098	states/eV/cell



## ii
Below is a relaxed structure of CaCd3Co, with properties calculated at the PBE level.

Cell: 5.9329 5.9329 5.9329 Å, 90.00 90.00 90.00°
Sites, in units of the cell vectors:
Ca: 0.0000 0.0000 0.0000
Cd: 0.0000 0.0000 0.5000
Cd: 0.0000 0.5000 0.0000
Cd: 0.5000 0.0000 0.0000
Co: 0.5000 0.5000 0.5000

## Properties
density of states at the Fermi level	3.006	states/eV/cell



Relative energies in meV/atom: i 0; ii 1144



## i
Below is a relaxed structure of CaCd2Co2, with properties calculated at the PBE level.

Cell: 7.6385 7.6385 3.1645 Å, 90.00 90.00 90.00°
Sites, in units of the cell vectors:
Ca: 0.0000 0.0000 0.0000
Ca: 0.5000 0.5000 0.0000
Cd: 0.1802 0.3198 0.5000
Cd: 0.3198 0.8198 0.5000
Cd: 0.6802 0.1802 0.5000
Cd: 0.8198 0.6802 0.5000
Co: 0.1065 0.6065 0.0000
Co: 0.3935 0.1065 0.0000
Co: 0.6065 0.8935 0.0000
Co: 0.8935 0.3935 0.0000

## Properties
density of states at the Fermi level	14.737	states/eV/cell



## ii
Below is a relaxed structure of CaCd2Co2, with properties calculated at the PBE level.

Cell: 6.1834 6.1834 6.1834 Å, 139.15 139.15 59.14°
Sites, in units of the cell vectors:
Ca: 0.0000 0.0000 0.0000
Cd: 0.2500 0.7500 0.5000
Cd: 0.7500 0.2500 0.5000
Co: 0.4016 0.4016 0.0000
Co: 0.5984 0.5984 0.0000

## Properties
density of states at the Fermi level	6.636	states/eV/cell



Relative energies in meV/atom: i 32; ii 0